The following is a DFT calculation (GGA-PBE) of a relaxed structure of Ho4Ru2Pt.

Structure (POSCAR):
```
Ho4Ru2Pt
1.0
-1.793 4.633 5.489
-5.609 -4.680 -1.200
6.049 -3.838 1.866
Ho Ru Pt
8 4 2
Direct
0.132 0.884 0.379
0.495 0.116 0.248
0.129 0.384 0.382
0.998 0.616 0.745
0.621 0.753 0.505
0.752 0.247 0.868
0.255 0.253 0.871
0.618 0.747 0.002
0.495 0.370 0.625
0.875 0.130 0.505
0.255 0.630 0.125
0.375 0.870 0.745
0.750 0.500 0.250
0.000 0.000 0.000
```

## Properties
Space group = I-42d, No. 122
Theoretical density = 11.24 g/cm³
Distance to the lowest polymorph of the same formula = 0.371 eV/f.u.
Energy of formation from the pure elements = -52 kJ per mole of atoms
Size of the total moment = 0.00 μB per formula unit